Material: LaRuPt
Method: DFT, PBE
State: relaxed Values from VASP.

Structure (Quantum ESPRESSO input):
```
&SYSTEM
  ibrav = 0, nat = 12, ntyp = 3
/
ATOMIC_SPECIES
Ru 101.07 Ru.upf
Pt 195.08 Pt.upf
La 138.91 La.upf
CELL_PARAMETERS angstrom
-4.208 -7.453 0.099
2.384 -1.299 3.503
-3.572 5.696 4.543
ATOMIC_POSITIONS angstrom
Ru -1.359 1.624 1.527
Ru -6.421 -3.382 3.115
Ru -1.953 3.823 5.550
Ru -3.443 -6.879 2.595
Pt 0.000 0.000 0.000
Pt -0.594 2.198 4.023
Pt -3.890 -0.879 2.321
Pt -0.912 -4.376 1.801
La -3.905 2.041 3.414
La -3.875 -3.798 1.228
La -0.927 -1.457 2.894
La -4.469 -1.599 5.251
```

The calculation puts the energy of formation from the pure elements at -47 kJ/mol of atoms. The crystal system is monoclinic. The calculation puts the magnetization at 0.00 μB per formula unit. The calculation puts the density of states at the Fermi level at 2.2 states/eV/f.u. The total DFT energy (no corrections) comes out at -21.70 eV per formula unit.